*P*
Computed, not measured: an optimized crystal structure of YMo2I at the PBE-GGA level of DFT.

The structure in extended XYZ format:
```
4
Lattice="3.4871 -2.3813 2.2698 2.9143 2.3191 3.0185 -0.3150 -0.7899 4.7180" Properties=species:S:1:pos:R:3 pbc="T T T"
I 3.0432 -0.4261 5.0032
Mo 4.5648 -0.6391 7.5048
Mo 1.5216 -0.2130 2.5016
Y 0.0000 0.0000 0.0000
```

Values from the calculation:
N(E_F) in states/eV per atom: 1.426
Space-group type: No. 225

---

*Q*
Computed, not measured: an optimized crystal structure of YMo2I at the PBE-GGA level of DFT.

The structure in extended XYZ format:
```
8
Lattice="8.1094 0.0000 0.0000 0.0000 8.1094 0.0000 4.0547 4.0547 2.8016" Properties=species:S:1:pos:R:3 pbc="T T T"
Y 4.0547 4.0547 0.0000
Y 4.0547 8.1094 1.4008
I 0.0000 0.0000 0.0000
I 8.1094 4.0547 1.4008
Mo 1.5904 6.0821 0.7004
Mo 6.0821 5.6451 2.1012
Mo 6.5190 2.0274 0.7004
Mo 10.1368 10.5737 2.1012
```

Values from the calculation:
N(E_F) in states/eV per atom: 1.237
Space-group type: No. 122

---

What should be chosen as the most stable of them? Choose *P*.

---

*P*
Computed, not measured: an optimized crystal structure of YMoI at the PBE-GGA level of DFT.

The structure in extended XYZ format:
```
6
Lattice="3.7409 0.0000 0.0017 0.0000 4.2698 0.0000 -1.6750 0.0000 10.7437" Properties=species:S:1:pos:R:3 pbc="T T T"
Mo 2.0993 3.2024 0.5799
Mo -0.0333 1.0675 10.1655
I 1.9582 3.2024 3.6352
I 0.1077 1.0675 7.1102
Y 2.0812 3.2024 8.8056
Y -0.0153 1.0675 1.9398
```

Values from the calculation:
N(E_F) in states/eV per atom: 0.401
Space-group type: No. 11

---

*Q*
Computed, not measured: an optimized crystal structure of YMoI at the PBE-GGA level of DFT.

The structure in extended XYZ format:
```
12
Lattice="12.9529 0.0000 0.0027 0.0000 4.1604 0.0000 -1.4002 0.0000 7.0633" Properties=species:S:1:pos:R:3 pbc="T T T"
I 7.1398 2.0802 1.9699
I 10.8573 0.0000 3.8116
I 6.4397 0.0000 5.5015
I 11.5574 2.0802 0.2799
Mo 2.4066 2.0802 3.4747
Mo 2.1732 0.0000 4.6524
Mo 2.8733 2.0802 1.1207
Mo 1.7065 0.0000 7.0064
Y 4.8577 0.0000 2.7391
Y 0.4206 0.0000 1.8587
Y 4.1576 2.0802 6.2707
Y -0.2795 2.0802 5.3904
```

Values from the calculation:
N(E_F) in states/eV per atom: 0.453
Space-group type: No. 8

---

*R*
Computed, not measured: an optimized crystal structure of YMoI at the PBE-GGA level of DFT.

The structure in extended XYZ format:
```
12
Lattice="13.2438 0.0000 -0.0239 0.0000 4.7906 0.0000 -0.1968 0.0000 5.1941" Properties=species:S:1:pos:R:3 pbc="T T T"
I 8.4129 2.3953 3.9785
I 8.5113 0.0000 1.3815
I 4.6341 2.3953 1.1917
I 4.5357 0.0000 3.7888
Y 10.4670 0.0000 4.0150
Y 10.5654 2.3953 1.4180
Y 2.4816 2.3953 3.7523
Y 2.5800 0.0000 1.1552
Mo 0.4211 0.0000 3.8060
Mo 12.5275 2.3953 3.9613
Mo 0.5195 2.3953 1.2090
Mo 12.6259 0.0000 1.3642
```

Values from the calculation:
N(E_F) in states/eV per atom: 1.010
Space-group type: No. 12

---

What should be chosen as the most stable of them? Choose *Q*.

---

*P*
Computed, not measured: an optimized crystal structure of YMoI at the PBE-GGA level of DFT.

The structure in extended XYZ format:
```
12
Lattice="12.9165 0.0000 0.0015 0.0000 4.1593 0.0000 -1.3274 0.0000 7.0817" Properties=species:S:1:pos:R:3 pbc="T T T"
Y 1.5575 2.0797 3.9562
Y 2.2212 0.0000 0.4153
Y 9.3679 0.0000 6.6679
Y 10.0316 2.0797 3.1270
I 3.3847 0.0000 5.5208
I 4.0484 2.0797 1.9800
I 8.2044 0.0000 1.5624
I 7.5407 2.0797 5.1032
Mo -0.4155 0.0000 2.3662
Mo 12.6683 2.0797 1.1761
Mo -1.0792 2.0797 5.9071
Mo 12.0046 0.0000 4.7170
```

Values from the calculation:
N(E_F) in states/eV per atom: 0.484
Space-group type: No. 12

---

*Q*
Computed, not measured: an optimized crystal structure of YMoI at the PBE-GGA level of DFT.

The structure in extended XYZ format:
```
6
Lattice="-0.3548 -2.6965 2.5621 3.6772 -0.6417 -0.1661 1.8929 8.4941 9.0885" Properties=species:S:1:pos:R:3 pbc="T T T"
Y 3.0431 0.5175 2.3289
Y 2.1722 4.6384 9.1556
Mo 0.8306 -0.8345 0.5990
Mo 2.4918 -2.5036 1.7969
I 3.9104 4.4227 6.4443
I 1.3048 0.7332 5.0402
```

Values from the calculation:
N(E_F) in states/eV per atom: 0.385
Space-group type: No. 11

---

What should be chosen as the most stable of them? Choose *P*.

---

*P*
Computed, not measured: an optimized crystal structure of ZnMo3I at the PBE-GGA level of DFT.

The structure in extended XYZ format:
```
5
Lattice="-0.3799 -3.3431 3.2594 4.5985 -0.8340 -0.3195 0.8083 3.1737 3.3494" Properties=species:S:1:pos:R:3 pbc="T T T"
Mo -0.1899 -1.6716 1.6297
Mo 0.4041 1.5868 1.6747
Mo 2.2993 -0.4170 -0.1597
Zn 0.0000 0.0000 0.0000
I 2.5135 -0.5017 3.1447
```

Values from the calculation:
N(E_F) in states/eV per atom: 1.394
Space-group type: No. 221

---

*Q*
Computed, not measured: an optimized crystal structure of ZnMo3I at the PBE-GGA level of DFT.

The structure in extended XYZ format:
```
5
Lattice="4.8617 0.0000 0.0000 0.0000 4.8617 0.0000 0.0000 0.0000 4.8617" Properties=species:S:1:pos:R:3 pbc="T T T"
Zn 2.4309 2.4309 2.4309
Mo 0.0000 0.0000 2.4309
Mo 0.0000 2.4309 0.0000
Mo 2.4309 0.0000 0.0000
I 0.0000 0.0000 0.0000
```

Values from the calculation:
N(E_F) in states/eV per atom: 1.113
Space-group type: No. 221

---

What should be chosen as the most stable of them? Choose *P*.

---

*P*
Computed, not measured: an optimized crystal structure of Zn2MoI at the PBE-GGA level of DFT.

The structure in extended XYZ format:
```
8
Lattice="7.9010 0.0000 0.0000 0.0000 7.9010 0.0000 3.9505 3.9505 2.8621" Properties=species:S:1:pos:R:3 pbc="T T T"
Mo 3.9505 7.9010 1.4311
Mo 3.9505 3.9505 0.0000
Zn 5.9257 6.1544 2.1466
Zn 5.6971 1.9752 0.7155
Zn 2.2039 5.9257 0.7155
Zn 9.8762 9.6476 2.1466
I 0.0000 0.0000 0.0000
I 7.9010 3.9505 1.4311
```

Values from the calculation:
N(E_F) in states/eV per atom: 0.553
Space-group type: No. 122

---

*Q*
Computed, not measured: an optimized crystal structure of Zn2MoI at the PBE-GGA level of DFT.

The structure in extended XYZ format:
```
4
Lattice="-0.6344 2.6838 3.9817 -2.7908 3.9552 -0.1647 -4.2933 0.0296 2.2419" Properties=species:S:1:pos:R:3 pbc="T T T"
Zn -5.7888 5.0014 4.5442
Zn -1.9296 1.6671 1.5147
I -3.8592 3.3343 3.0294
Mo 0.0000 0.0000 0.0000
```

Values from the calculation:
N(E_F) in states/eV per atom: 0.994
Space-group type: No. 225

---

What should be chosen as the most stable of them? Choose *P*.

---

*P*
Computed, not measured: an optimized crystal structure of Zr3MoI at the PBE-GGA level of DFT.

The structure in extended XYZ format:
```
5
Lattice="-5.1257 -0.2141 -0.7371 0.7671 -1.2612 -4.9682 0.0259 -5.0225 1.2790" Properties=species:S:1:pos:R:3 pbc="T T T"
I 0.0000 0.0000 0.0000
Zr 0.3836 -0.6306 -2.4841
Zr -2.5628 -0.1071 -0.3685
Zr 0.0130 -2.5112 0.6395
Mo -2.1663 -3.2489 -2.2131
```

Values from the calculation:
N(E_F) in states/eV per atom: 1.329
Space-group type: No. 221

---

*Q*
Computed, not measured: an optimized crystal structure of Zr3MoI at the PBE-GGA level of DFT.

The structure in extended XYZ format:
```
5
Lattice="5.1336 0.0000 0.0000 0.0000 5.1336 0.0000 0.0000 0.0000 5.1336" Properties=species:S:1:pos:R:3 pbc="T T T"
Zr 0.0000 0.0000 2.5668
Zr 0.0000 2.5668 0.0000
Zr 2.5668 0.0000 0.0000
I 2.5668 2.5668 2.5668
Mo 0.0000 0.0000 0.0000
```

Values from the calculation:
N(E_F) in states/eV per atom: 2.708
Space-group type: No. 221

---

What should be chosen as the most stable of them? Choose *Q*.

---

*P*
Computed, not measured: an optimized crystal structure of ZrMo2I at the PBE-GGA level of DFT.

The structure in extended XYZ format:
```
8
Lattice="3.9609 0.0000 0.0000 0.0000 3.9609 0.0000 1.9804 1.9804 10.6399" Properties=species:S:1:pos:R:3 pbc="T T T"
I 0.0000 0.0000 0.0000
I 3.9609 1.9804 5.3199
Zr 1.9804 1.9804 0.0000
Zr 1.9804 3.9609 5.3199
Mo 2.9707 3.1116 7.9799
Mo 2.8297 0.9902 2.6600
Mo 4.9511 4.8101 7.9799
Mo 1.1312 2.9707 2.6600
```

Values from the calculation:
N(E_F) in states/eV per atom: 0.875
Space-group type: No. 122

---

*Q*
Computed, not measured: an optimized crystal structure of ZrMo2I at the PBE-GGA level of DFT.

The structure in extended XYZ format:
```
4
Lattice="0.0000 3.3263 3.3263 3.3263 0.0000 3.3263 3.3263 3.3263 0.0000" Properties=species:S:1:pos:R:3 pbc="T T T"
Mo 1.6632 1.6632 1.6632
Mo 4.9895 4.9895 4.9895
I 3.3263 3.3263 3.3263
Zr 0.0000 0.0000 0.0000
```

Values from the calculation:
N(E_F) in states/eV per atom: 0.741
Space-group type: No. 225

---

What should be chosen as the most stable of them? Choose *Q*.

---

*P*
Computed, not measured: an optimized crystal structure of NaIN2 at the PBE-GGA level of DFT.

The structure in extended XYZ format:
```
4
Lattice="0.9687 6.5316 2.6500 0.6625 4.5266 5.4491 3.6941 4.7449 3.8028" Properties=species:S:1:pos:R:3 pbc="T T T"
Na 0.0000 0.0000 0.0000
I 2.6627 7.9016 5.9509
N 0.5843 1.7340 1.3059
N 4.7411 14.0691 10.5959
```

Values from the calculation:
N(E_F) in states/eV per atom: 0.218
Space-group type: No. 166

---

*Q*
Computed, not measured: an optimized crystal structure of NaIN2 at the PBE-GGA level of DFT.

The structure in extended XYZ format:
```
4
Lattice="2.2424 0.0000 6.1705 -1.1212 1.9420 6.1705 -1.1212 -1.9420 6.1705" Properties=species:S:1:pos:R:3 pbc="T T T"
N 0.0000 0.0000 16.5448
N 0.0000 0.0000 1.9667
Na 0.0000 0.0000 9.2558
I 0.0000 0.0000 0.0000
```

Values from the calculation:
N(E_F) in states/eV per atom: 0.440
Space-group type: No. 166

---

*R*
Computed, not measured: an optimized crystal structure of NaIN2 at the PBE-GGA level of DFT.

The structure in extended XYZ format:
```
8
Lattice="5.2488 0.0000 0.0000 0.0000 5.2488 0.0000 2.6244 2.6244 5.4260" Properties=species:S:1:pos:R:3 pbc="T T T"
I 5.2488 2.6244 2.7130
I 0.0000 0.0000 0.0000
N 4.2820 1.3122 1.3565
N 6.5610 6.9064 4.0695
N 3.9366 3.5912 4.0695
N 0.9668 3.9366 1.3565
Na 2.6244 5.2488 2.7130
Na 2.6244 2.6244 0.0000
```

Values from the calculation:
N(E_F) in states/eV per atom: 0.130
Space-group type: No. 122

---

What should be chosen as the most stable of them? Choose *R*.